[1]
Ta2NiPd6 | PBE | optimized geometry

For the uncorrected energy, the calculation gives -128.6 eV for the cell shown. The calculation puts the polymorph energy (0 for the lowest one) at 0 meV per atom. Its symmetry is P4_2/mnm.

a = 3.916 Å, b = 8.363 Å, c = 8.363 Å
α = 90.00°, β = 90.00°, γ = 90.00°
Fractional coordinates of all 18 atoms:
Pd1 0.000 0.324 0.498
Ta1 0.000 0.333 0.833
Pd2 0.000 0.659 0.841
Pd3 0.000 0.002 0.176
Pd4 0.500 0.841 0.341
Pd5 0.500 0.159 0.659
Pd6 0.500 0.176 0.998
Ta2 0.500 0.833 0.667
Pd7 0.000 0.676 0.502
Ta3 0.000 0.667 0.167
Pd8 0.000 0.341 0.159
Ni1 0.500 0.500 0.000
Pd9 0.500 0.824 0.002
Ta4 0.500 0.167 0.333
Pd10 0.500 0.498 0.676
Pd11 0.000 0.998 0.824
Ni2 0.000 0.000 0.500
Pd12 0.500 0.502 0.324


[2]
Sm2Ho8In | PBE | optimized geometry

For the uncorrected energy, the calculation gives -48.1 eV for the cell shown. The calculation puts the polymorph energy (0 for the lowest one) at 59 meV per atom. Its symmetry is C2/m.

a = 6.795 Å, b = 9.752 Å, c = 9.752 Å
α = 39.54°, β = 59.17°, γ = 59.17°
Fractional coordinates of all 11 atoms:
Ho1 0.819 0.244 0.244
Sm1 0.577 0.819 0.819
Ho2 0.734 0.597 0.597
Ho3 0.777 0.183 0.663
Ho4 0.777 0.663 0.183
In1 0.000 0.000 0.000
Ho5 0.181 0.756 0.756
Ho6 0.223 0.817 0.337
Sm2 0.423 0.181 0.181
Ho7 0.266 0.403 0.403
Ho8 0.223 0.337 0.817


[3]
KMnSe | PBE | optimized geometry

For the uncorrected energy, the calculation gives -12.2 eV for the cell shown. The calculation puts the polymorph energy (0 for the lowest one) at 887 meV per atom. Its symmetry is F-43m. Its formation energy (no corrections) is 1.6 eV per formula unit.

a = 5.149 Å, b = 5.149 Å, c = 5.149 Å
α = 60.00°, β = 60.00°, γ = 60.00°
Each line ends with the local moment (μB).
Fractional coordinates of all 3 atoms:
Mn1 0.000 0.000 0.000  4.58
K1 0.750 0.750 0.750  0.03
Se1 0.500 0.500 0.500  0.15